Record 1
{"formula": "LiMn2Cu", "functional": "GGA-PBE", "state": "optimized geometry", "volume_a3_per_cell": 50.1, "e_form_ev_per_atom": 0.3196, "rho_g_cm3": 5.98, "dft_energy_ev_per_atom": -5.768, "lattice_angstrom": [[-2.4154, -0.0590, 1.1155], [-0.8795, -3.6289, -2.0964], [1.6087, -2.3309, 3.3598]], "species": ["Cu", "Mn", "Mn", "Li"], "fractional_positions": [[0.5000, 0.0000, 0.5000], [0.5000, 0.5000, 0.0000], [0.0000, 0.0000, 0.0000], [0.0000, 0.5000, 0.5000]]}

Record 2
{"formula": "LaDyRh2", "functional": "GGA-PBE", "state": "optimized geometry", "volume_a3_per_cell": 86.3, "e_form_ev_per_atom": -0.7407, "rho_g_cm3": 9.76, "dft_energy_ev_per_atom": -6.799, "lattice_angstrom": [[-1.1891, 3.2140, -0.5050], [-3.1942, -1.0511, 0.8313], [1.2837, 1.5599, 6.9047]], "species": ["Rh", "La", "Rh", "Dy"], "fractional_positions": [[0.0000, 0.0000, 0.2323], [0.5000, 0.5000, 0.5000], [0.0000, 0.0000, 0.7677], [0.5000, 0.5000, 0.0000]]}

Record 3
{"formula": "DyCoB2", "functional": "GGA-PBE", "state": "optimized geometry", "volume_a3_per_cell": 183.7, "e_form_ev_per_atom": -0.5287, "e_above_lowest_polymorph_mev_per_atom": 0, "rho_g_cm3": 8.79, "dft_energy_ev_per_atom": -6.794, "lattice_angstrom": [[-1.2442, -1.7420, 4.7656], [4.9681, -2.9900, 0.2041], [2.7782, 4.7851, 2.4744]], "species": ["B", "Co", "B", "B", "B", "Co", "Co", "Dy", "Dy", "B", "Dy", "B", "Dy", "B", "B", "Co"], "fractional_positions": [[0.9124, 0.1252, 0.9570], [0.7500, 0.3180, 0.6753], [0.5876, 0.6252, 0.5430], [0.5876, 0.1252, 0.9570], [0.4124, 0.8748, 0.0430], [0.7500, 0.8180, 0.8247], [0.2500, 0.6820, 0.3247], [0.2500, 0.5032, 0.8456], [0.7500, 0.9968, 0.3456], [0.0876, 0.3748, 0.4570], [0.7500, 0.4968, 0.1544], [0.4124, 0.3748, 0.4570], [0.2500, 0.0032, 0.6544], [0.9124, 0.6252, 0.5430], [0.0876, 0.8748, 0.0430], [0.2500, 0.1820, 0.1753]]}

Record 4
{"formula": "SrNd3Mg4", "functional": "GGA-PBE", "state": "optimized geometry", "volume_a3_per_cell": 247.1, "e_form_ev_per_atom": -0.0782, "rho_g_cm3": 4.15, "dft_energy_ev_per_atom": -2.874, "lattice_angstrom": [[-3.1632, -2.1990, -0.8491], [2.1514, -1.1504, -5.0351], [5.1202, -9.0046, 4.2451]], "species": ["Nd", "Nd", "Mg", "Nd", "Mg", "Mg", "Sr", "Mg"], "fractional_positions": [[0.5000, 0.5000, 0.5000], [0.5000, 0.0000, 0.2554], [0.0000, 0.5000, 0.2604], [0.5000, 0.0000, 0.7446], [0.0000, 0.0000, 0.0000], [0.0000, 0.0000, 0.5000], [0.5000, 0.5000, 0.0000], [0.0000, 0.5000, 0.7396]]}